[1]
SrTl2TePt: optimized geometry, GGA-PBE.

CIF file:
```
data_SrTl2TePt
_symmetry_space_group_name_H-M 'P 4/m m m'
_symmetry_Int_Tables_number 123
_symmetry_space_group_name_Hall '-P 4 2'
_cell_length_a 5.282
_cell_length_b 5.282
_cell_length_c 5.922
_cell_angle_alpha 90.00
_cell_angle_beta 90.00
_cell_angle_gamma 90.00
loop_
_atom_site_label
_atom_site_type_symbol
_atom_site_fract_x
_atom_site_fract_y
_atom_site_fract_z
Sr1 Sr 0.000 0.000 0.000
Tl1 Tl 0.000 0.500 0.500
Te1 Te 0.500 0.500 0.000
Pt1 Pt 0.000 0.000 0.500
```

Values from the calculation:
- raw total energy (eV/atom) = -3.710
- Fermi-level density of states (states/eV/cell) = 1.21
- uncorrected formation energy (kJ/mol of atoms) = -57


[2]
MgBeSbTe2: optimized geometry, GGA-PBE.

CIF file:
```
data_MgBeSbTe2
_symmetry_space_group_name_H-M 'P 4/m m m'
_symmetry_Int_Tables_number 123
_symmetry_space_group_name_Hall '-P 4 2'
_cell_length_a 5.303
_cell_length_b 5.303
_cell_length_c 4.617
_cell_angle_alpha 90.00
_cell_angle_beta 90.00
_cell_angle_gamma 90.00
loop_
_atom_site_label
_atom_site_type_symbol
_atom_site_fract_x
_atom_site_fract_y
_atom_site_fract_z
Mg1 Mg 0.000 0.000 0.000
Be1 Be 0.500 0.500 0.500
Sb1 Sb 0.500 0.500 0.000
Te1 Te 0.000 0.500 0.500
```

Values from the calculation:
- raw total energy (eV/atom) = -2.876
- Fermi-level density of states (states/eV/cell) = 3.32
- uncorrected formation energy (kJ/mol of atoms) = 26
- energy relative to the lowest polymorph listed for this composition (kcal/mol of atoms) = 0.00


[3]
La2CeSi3Pt12: optimized geometry, GGA-PBE.

CIF file:
```
data_La2CeSi3Pt12
_symmetry_space_group_name_H-M 'R -3 m'
_symmetry_Int_Tables_number 166
_symmetry_space_group_name_Hall '-R 3 2"'
_cell_length_a 8.3030
_cell_length_b 8.3030
_cell_length_c 18.6740
_cell_angle_alpha 90.00
_cell_angle_beta 90.00
_cell_angle_gamma 120.00
loop_
_atom_site_label
_atom_site_type_symbol
_atom_site_fract_x
_atom_site_fract_y
_atom_site_fract_z
La1 La 0.0000 0.0000 0.1007
Ce1 Ce 0.0000 0.0000 0.5000
Si1 Si 0.0000 0.5000 0.0000
Pt1 Pt 0.0277 0.5139 0.8722
Pt2 Pt 0.0348 0.5174 0.3663
```

Values from the calculation:
- raw total energy (eV/atom) = -6.411
- Fermi-level density of states (states/eV/cell) = 27.10
- uncorrected formation energy (kJ/mol of atoms) = -58


[4]
Cs2YCo2: optimized geometry, GGA-PBE.

CIF file:
```
data_Cs2YCo2
_symmetry_space_group_name_H-M 'I 4/m m m'
_symmetry_Int_Tables_number 139
_symmetry_space_group_name_Hall '-I 4 2'
_cell_length_a 5.700
_cell_length_b 5.700
_cell_length_c 10.658
_cell_angle_alpha 90.00
_cell_angle_beta 90.00
_cell_angle_gamma 90.00
loop_
_atom_site_label
_atom_site_type_symbol
_atom_site_fract_x
_atom_site_fract_y
_atom_site_fract_z
Cs1 Cs 0.000 0.000 0.154
Y1 Y 0.000 0.000 0.500
Co1 Co 0.000 0.500 0.250
```

Values from the calculation:
- raw total energy (eV/atom) = -2.827
- Fermi-level density of states (states/eV/cell) = 29.86
- formation energy from the elements (meV/atom) = 1650


[5]
CrAgP2: optimized geometry, GGA-PBE.

CIF file:
```
data_CrAgP2
_symmetry_space_group_name_H-M 'P m m m'
_symmetry_Int_Tables_number 47
_symmetry_space_group_name_Hall '-P 2 2'
_cell_length_a 2.808
_cell_length_b 2.940
_cell_length_c 7.320
_cell_angle_alpha 90.00
_cell_angle_beta 90.00
_cell_angle_gamma 90.00
loop_
_atom_site_label
_atom_site_type_symbol
_atom_site_fract_x
_atom_site_fract_y
_atom_site_fract_z
Cr1 Cr 0.000 0.000 0.000
Ag1 Ag 0.000 0.500 0.500
P1 P 0.500 0.500 0.180
```

Values from the calculation:
- raw total energy (eV/atom) = -5.821
- Fermi-level density of states (states/eV/cell) = 3.16
- energy relative to the lowest polymorph listed for this composition (kcal/mol of atoms) = 1.12
- formation energy from the elements (meV/atom) = 3


[6]
PuAs2Rh: optimized geometry, GGA-PBE.

CIF file:
```
data_PuAs2Rh
_symmetry_space_group_name_H-M 'R -3 m'
_symmetry_Int_Tables_number 166
_symmetry_space_group_name_Hall '-R 3 2"'
_cell_length_a 3.1533
_cell_length_b 3.1533
_cell_length_c 28.3174
_cell_angle_alpha 90.00
_cell_angle_beta 90.00
_cell_angle_gamma 120.00
loop_
_atom_site_label
_atom_site_type_symbol
_atom_site_fract_x
_atom_site_fract_y
_atom_site_fract_z
Pu1 Pu 0.0000 0.0000 0.0000
As1 As 0.0000 0.0000 0.1034
Rh1 Rh 0.0000 0.0000 0.5000
```

Values from the calculation:
- raw total energy (eV/atom) = -7.836
- Fermi-level density of states (states/eV/cell) = 24.09
- formation energy from the elements (meV/atom) = -90